# LiSmDyEr | Alexandria | GGA-PBE | relaxed
# * E_form: 0.1668 eV/atom
data_LiSmDyEr
_chemical_formula_sum 'Li4 Sm4 Dy4 Er4'
_cell_length_a 7.7633
_cell_length_b 7.7633
_cell_length_c 7.7633
_cell_angle_alpha 90.00
_cell_angle_beta 90.00
_cell_angle_gamma 90.00
_symmetry_space_group_name_H-M 'F -4 3 m'
_symmetry_Int_Tables_number 216
_symmetry_space_group_name_Hall 'F -4 2 3'
loop_
_atom_site_label
_atom_site_type_symbol
_atom_site_fract_x
_atom_site_fract_y
_atom_site_fract_z
Li1 Li 0.0000 0.0000 0.0000
Sm1 Sm 0.2500 0.2500 0.2500
Dy1 Dy 0.2500 0.2500 0.7500
Er1 Er 0.0000 0.0000 0.5000

=====

# LiCeScRe | Alexandria | GGA-PBE | relaxed
# * E_form: -0.0037 eV/atom
data_LiCeScRe
_chemical_formula_sum 'Li4 Ce4 Sc4 Re4'
_cell_length_a 6.7781
_cell_length_b 6.7781
_cell_length_c 6.7781
_cell_angle_alpha 90.00
_cell_angle_beta 90.00
_cell_angle_gamma 90.00
_symmetry_space_group_name_H-M 'F -4 3 m'
_symmetry_Int_Tables_number 216
_symmetry_space_group_name_Hall 'F -4 2 3'
loop_
_atom_site_label
_atom_site_type_symbol
_atom_site_fract_x
_atom_site_fract_y
_atom_site_fract_z
Li1 Li 0.0000 0.0000 0.0000
Ce1 Ce 0.2500 0.2500 0.7500
Sc1 Sc 0.2500 0.2500 0.2500
Re1 Re 0.0000 0.0000 0.5000

=====

# Dy2PRh6 | Alexandria | GGA-PBE | relaxed
# * E_form: -0.8521 eV/atom
data_Dy2PRh6
_chemical_formula_sum 'Dy8 P4 Rh24'
_cell_length_a 8.4113
_cell_length_b 8.4113
_cell_length_c 8.4113
_cell_angle_alpha 90.00
_cell_angle_beta 90.00
_cell_angle_gamma 90.00
_symmetry_space_group_name_H-M 'F m -3 m'
_symmetry_Int_Tables_number 225
_symmetry_space_group_name_Hall '-F 4 2 3'
loop_
_atom_site_label
_atom_site_type_symbol
_atom_site_fract_x
_atom_site_fract_y
_atom_site_fract_z
Dy1 Dy 0.2500 0.2500 0.2500
P1 P 0.0000 0.0000 0.0000
Rh1 Rh 0.0000 0.0000 0.2662

=====

Q: Look up the E_form of the third one.
A: -0.8521 eV/atom